[1]
VASP calculation (PBE) on an optimized crystal structure of LaTb3Cd2.

The structure in POSCAR format:
```
LaTb3Cd2
1.0
-2.075 3.080 -0.049
-1.804 -1.263 -2.990
-8.564 -5.648 7.552
Tb Cd La
3 2 1
Direct
0.000 0.000 0.300
0.000 0.000 0.000
0.000 0.000 0.700
0.500 0.500 0.150
0.500 0.500 0.850
0.500 0.500 0.500
```

Values from the calculation:
Space-group type: P4/mmm, No. 123

[2]
VASP calculation (PBE) on an optimized crystal structure of LaTb6Cd2.

The structure in POSCAR format:
```
LaTb6Cd2
1.0
-3.272 3.603 2.833
-5.859 -7.070 4.536
3.445 -2.399 9.342
Tb Cd La
12 4 2
Direct
0.207 0.002 0.218
0.293 0.782 0.998
0.556 0.331 0.533
0.707 0.218 0.002
0.944 0.467 0.669
0.153 0.348 0.123
0.056 0.533 0.331
0.653 0.123 0.348
0.793 0.998 0.782
0.444 0.669 0.467
0.847 0.652 0.877
0.347 0.877 0.652
0.899 0.806 0.521
0.101 0.194 0.479
0.601 0.479 0.194
0.399 0.521 0.806
0.250 0.169 0.831
0.750 0.831 0.169
```

Values from the calculation:
Space-group type: C2/c, No. 15

[3]
VASP calculation (PBE) on an optimized crystal structure of La2Tb3Cd4.

The structure in POSCAR format:
```
La2Tb3Cd4
1.0
-0.437 -1.837 6.672
8.347 0.105 0.575
-0.063 9.881 -0.887
Tb La Cd
6 4 8
Direct
0.000 0.000 0.000
0.004 0.750 0.507
0.996 0.250 0.493
0.496 0.250 0.493
0.504 0.750 0.507
0.500 0.500 0.000
0.593 0.902 0.185
0.407 0.098 0.815
0.907 0.402 0.815
0.093 0.598 0.185
0.675 0.750 0.851
0.336 0.489 0.673
0.836 0.011 0.673
0.825 0.250 0.149
0.164 0.989 0.327
0.175 0.750 0.851
0.325 0.250 0.149
0.664 0.511 0.327
```

Values from the calculation:
Space-group type: Cmce, No. 64

[4]
VASP calculation (PBE) on an optimized crystal structure of LaTb3Cd.

The structure in POSCAR format:
```
LaTb3Cd
1.0
3.739 0.001 -0.001
1.870 6.570 0.494
-0.003 -0.192 12.712
Tb Cd La
6 2 2
Direct
0.634 0.733 0.977
0.964 0.071 0.811
0.366 0.267 0.023
0.036 0.929 0.189
0.856 0.289 0.549
0.144 0.711 0.451
0.450 0.099 0.373
0.550 0.901 0.627
0.764 0.471 0.249
0.236 0.529 0.751
```

Values from the calculation:
Space-group type: P-1, No. 2

[5]
VASP calculation (PBE) on an optimized crystal structure of La5TbCd.

The structure in POSCAR format:
```
La5TbCd
1.0
-5.448 -0.128 -3.740
4.144 1.083 -5.033
1.765 -11.413 2.396
La Tb Cd
10 2 2
Direct
0.610 0.972 0.656
0.776 0.455 0.528
0.972 0.610 0.156
0.141 0.859 0.750
0.545 0.224 0.972
0.390 0.028 0.344
0.028 0.390 0.844
0.224 0.545 0.472
0.455 0.776 0.028
0.859 0.141 0.250
0.495 0.505 0.250
0.505 0.495 0.750
0.000 0.000 0.500
0.000 0.000 0.000
```

Values from the calculation:
Space-group type: C2/c, No. 15

[6]
VASP calculation (PBE) on an optimized crystal structure of La3Tb4Cd.

The structure in POSCAR format:
```
La3Tb4Cd
1.0
-3.024 4.669 -2.915
-4.391 0.679 5.642
7.208 7.599 4.695
Tb La Cd
8 6 2
Direct
0.490 0.374 0.000
0.150 0.380 0.763
0.963 0.125 0.000
0.463 0.875 0.500
0.650 0.620 0.263
0.990 0.626 0.500
0.650 0.620 0.737
0.150 0.380 0.237
0.003 0.135 0.500
0.146 0.861 0.769
0.503 0.865 0.000
0.146 0.861 0.231
0.646 0.139 0.731
0.646 0.139 0.269
0.968 0.599 0.000
0.468 0.401 0.500
```

Values from the calculation:
Space-group type: Pmn2_1, No. 31

[7]
VASP calculation (PBE) on an optimized crystal structure of La5Tb4Cd.

The structure in POSCAR format:
```
La5Tb4Cd
1.0
-3.701 -0.203 -0.462
0.487 -2.343 -2.869
-0.870 -18.840 15.237
La Tb Cd
5 4 1
Direct
0.500 0.500 0.705
0.500 0.500 0.500
0.500 0.500 0.295
0.500 0.500 0.088
0.500 0.500 0.912
0.000 0.000 0.398
0.000 0.000 0.602
0.000 0.000 0.193
0.000 0.000 0.807
0.000 0.000 0.000
```

Values from the calculation:
Space-group type: P4/mmm, No. 123

[8]
VASP calculation (PBE) on an optimized crystal structure of LaTbCd.

The structure in POSCAR format:
```
LaTbCd
1.0
4.728 0.000 0.000
0.000 4.728 0.000
0.000 0.000 8.371
Tb Cd La
2 2 2
Direct
0.500 0.000 0.638
0.000 0.500 0.362
0.500 0.000 0.278
0.000 0.500 0.722
0.500 0.500 0.000
0.000 0.000 0.000
```

Values from the calculation:
Space-group type: P4/nmm, No. 129

[9]
VASP calculation (PBE) on an optimized crystal structure of LaTbCd2.

The structure in POSCAR format:
```
LaTbCd2
1.0
3.793 0.000 0.000
0.000 3.793 0.000
0.000 0.000 7.904
Cd Tb La
2 1 1
Direct
0.000 0.000 0.227
0.000 0.000 0.773
0.500 0.500 0.000
0.500 0.500 0.500
```

Values from the calculation:
Space-group type: P4/mmm, No. 123

[10]
VASP calculation (PBE) on an optimized crystal structure of La2Tb3Cd3.

The structure in POSCAR format:
```
La2Tb3Cd3
1.0
-2.614 0.335 2.791
0.698 -5.166 1.275
9.172 5.337 5.308
Tb Cd La
3 3 2
Direct
0.618 0.618 0.236
0.500 0.000 0.000
0.382 0.382 0.764
0.889 0.889 0.777
0.000 0.500 0.000
0.111 0.111 0.223
0.731 0.231 0.461
0.269 0.769 0.539
```

Values from the calculation:
Space-group type: Immm, No. 71

[11]
VASP calculation (PBE) on an optimized crystal structure of La6Tb3Cd.

The structure in POSCAR format:
```
La6Tb3Cd
1.0
5.207 0.000 0.000
0.000 11.295 -0.333
0.000 -0.057 11.579
La Tb Cd
12 6 2
Direct
0.250 0.451 0.102
0.750 0.762 0.505
0.250 0.860 0.312
0.750 0.846 0.810
0.750 0.140 0.688
0.250 0.046 0.893
0.250 0.154 0.190
0.750 0.348 0.299
0.250 0.238 0.495
0.250 0.652 0.701
0.750 0.549 0.898
0.750 0.954 0.107
0.750 0.248 0.992
0.750 0.450 0.598
0.250 0.550 0.402
0.250 0.348 0.796
0.750 0.652 0.204
0.250 0.752 0.008
0.750 0.053 0.395
0.250 0.947 0.605
```

Values from the calculation:
Space-group type: P2_1/m, No. 11

[12]
VASP calculation (PBE) on an optimized crystal structure of LaTb5Cd3.

The structure in POSCAR format:
```
LaTb5Cd3
1.0
-0.020 -4.690 5.236
-4.502 -6.033 -5.421
9.274 0.099 0.125
Cd Tb La
6 10 2
Direct
0.250 0.340 0.000
0.250 0.000 0.340
0.750 0.660 0.000
0.750 0.000 0.660
0.250 0.660 0.660
0.750 0.340 0.340
0.250 0.667 0.000
0.000 0.333 0.667
0.250 0.333 0.333
0.500 0.667 0.333
0.000 0.667 0.333
0.750 0.333 0.000
0.250 0.000 0.667
0.500 0.333 0.667
0.750 0.667 0.667
0.750 0.000 0.333
0.000 0.000 0.000
0.500 0.000 0.000
```

Values from the calculation:
Space-group type: P6_3/mcm, No. 193

[13]
VASP calculation (PBE) on an optimized crystal structure of La8Tb2Cd.

The structure in POSCAR format:
```
La8Tb2Cd
1.0
-1.236 -2.548 -4.285
-5.904 -3.978 4.068
-3.464 8.934 -1.234
La Tb Cd
8 2 1
Direct
0.677 0.910 0.354
0.863 0.820 0.725
0.137 0.180 0.275
0.408 0.549 0.817
0.592 0.451 0.183
0.045 0.728 0.090
0.323 0.090 0.646
0.955 0.272 0.910
0.773 0.365 0.547
0.227 0.635 0.453
0.500 0.000 0.000
```

Values from the calculation:
Space-group type: C2/m, No. 12

[14]
VASP calculation (PBE) on an optimized crystal structure of LaTbCd.

The structure in POSCAR format:
```
LaTbCd
1.0
3.623 0.000 0.000
0.000 5.362 0.000
0.000 -2.681 4.644
Tb La Cd
1 1 1
Direct
0.068 0.000 0.000
0.650 0.667 0.333
0.281 0.333 0.667
```

Values from the calculation:
Space-group type: P3m1, No. 156

[15]
VASP calculation (PBE) on an optimized crystal structure of LaTb4Cd2.

The structure in POSCAR format:
```
LaTb4Cd2
1.0
-2.840 -1.971 -3.738
-0.430 -5.051 -0.477
-9.516 -2.222 4.936
Tb La Cd
4 1 2
Direct
0.895 0.895 0.316
0.702 0.702 0.893
0.298 0.298 0.107
0.105 0.105 0.684
0.500 0.500 0.500
0.399 0.399 0.804
0.601 0.601 0.196
```

Values from the calculation:
Space-group type: R-3m, No. 166

[16]
VASP calculation (PBE) on an optimized crystal structure of LaTbCd2.

The structure in POSCAR format:
```
LaTbCd2
1.0
5.448 0.000 0.000
2.724 4.718 0.000
2.724 1.573 4.448
Cd La Tb
2 1 1
Direct
0.250 0.250 0.250
0.750 0.750 0.750
0.000 0.000 0.000
0.500 0.500 0.500
```

Values from the calculation:
Space-group type: Fm-3m, No. 225

[17]
VASP calculation (PBE) on an optimized crystal structure of La12TbCd6.

The structure in POSCAR format:
```
La12TbCd6
1.0
-2.455 2.380 7.724
2.339 -7.441 3.243
7.713 2.969 1.744
La Cd Tb
12 6 1
Direct
0.392 0.050 0.157
0.050 0.157 0.392
0.535 0.433 0.814
0.950 0.843 0.608
0.186 0.465 0.567
0.608 0.950 0.843
0.433 0.814 0.535
0.843 0.608 0.950
0.157 0.392 0.050
0.465 0.567 0.186
0.814 0.535 0.433
0.567 0.186 0.465
0.740 0.885 0.251
0.115 0.749 0.260
0.251 0.740 0.885
0.260 0.115 0.749
0.885 0.251 0.740
0.749 0.260 0.115
0.000 0.000 0.000
```

Values from the calculation:
Space-group type: R-3, No. 148

[18]
VASP calculation (PBE) on an optimized crystal structure of La3Tb6Cd.

The structure in POSCAR format:
```
La3Tb6Cd
1.0
-3.430 1.387 5.228
7.843 -2.996 5.940
2.368 9.949 -1.085
Tb La Cd
12 6 2
Direct
0.908 0.404 0.010
0.908 0.990 0.596
0.092 0.438 0.324
0.408 0.010 0.404
0.408 0.596 0.990
0.092 0.676 0.562
0.592 0.324 0.438
0.089 0.752 0.248
0.589 0.248 0.752
0.264 0.953 0.047
0.764 0.047 0.953
0.592 0.562 0.676
0.440 0.288 0.112
0.440 0.888 0.712
0.092 0.357 0.643
0.940 0.712 0.888
0.592 0.643 0.357
0.940 0.112 0.288
0.660 0.846 0.154
0.160 0.154 0.846
```

Values from the calculation:
Space-group type: Cmc2_1, No. 36

[19]
VASP calculation (PBE) on an optimized crystal structure of LaTb4Cd4.

The structure in POSCAR format:
```
LaTb4Cd4
1.0
5.591 0.000 0.000
0.000 9.618 0.000
0.000 0.000 9.618
Tb Cd La
8 8 2
Direct
0.542 0.150 0.425
0.458 0.425 0.850
0.958 0.350 0.075
0.042 0.925 0.350
0.958 0.650 0.925
0.542 0.850 0.575
0.042 0.075 0.650
0.458 0.575 0.150
0.540 0.896 0.202
0.460 0.798 0.896
0.040 0.298 0.396
0.960 0.604 0.298
0.540 0.104 0.798
0.460 0.202 0.104
0.960 0.396 0.702
0.040 0.702 0.604
0.000 0.000 0.000
0.500 0.500 0.500
```

Values from the calculation:
Space-group type: P4_2/n, No. 86

[20]
VASP calculation (PBE) on an optimized crystal structure of LaTb2Cd2.

The structure in POSCAR format:
```
LaTb2Cd2
1.0
3.751 0.000 -0.503
0.000 5.512 0.000
-0.025 0.000 14.079
La Cd Tb
2 4 4
Direct
0.851 0.750 0.704
0.149 0.250 0.296
0.453 0.750 0.907
0.358 0.250 0.717
0.642 0.750 0.283
0.547 0.250 0.093
0.047 0.750 0.094
0.953 0.250 0.906
0.764 0.250 0.527
0.236 0.750 0.473
```

Values from the calculation:
Space-group type: P2_1/m, No. 11

Calculated formation energy values (in meV per atom) by entry order: -202 -34 -177 -107 34 -33 -41 -55 -321 -217 -23 -167 -28 -89 201 -314 -137 75 -127 -251.
Fermi-level density of states values (in states/eV per atom) by entry order: 1.39 1.31 1.05 1.38 1.30 1.21 1.39 1.41 1.17 1.21 1.61 0.80 1.51 1.36 1.76 1.11 1.38 1.23 0.72 1.11.